a | {"formula": "SnBiPb2", "functional": "GGA-PBE", "state": "relaxed", "total_magnetization_mub_per_fu": 0.000, "n_ef_per_ev_cell": 2.1, "cell": [[5.045, 0.000, 0.000], [0.000, 5.045, 0.000], [0.000, 0.000, 4.875]], "species": ["Sn", "Bi", "Pb", "Pb"], "frac_coords": [[0.000, 0.000, 0.000], [0.500, 0.500, 0.000], [0.000, 0.500, 0.500], [0.500, 0.000, 0.500]]}

---

b | {"formula": "SnBiPb2", "functional": "GGA-PBE", "state": "relaxed", "total_magnetization_mub_per_fu": 0.000, "n_ef_per_ev_cell": 2.0, "cell": [[2.513, 1.451, 6.488], [-2.513, 1.451, 6.488], [0.000, -2.901, 6.488]], "species": ["Sn", "Bi", "Pb", "Pb"], "frac_coords": [[0.000, 0.000, 0.000], [0.833, 0.833, 0.833], [0.240, 0.240, 0.240], [0.409, 0.409, 0.409]]}

---

It comes down to a, which is 55 meV per atom more stable than the next structure.

---

a | {"formula": "Sn2Bi2Pb", "functional": "GGA-PBE", "state": "relaxed", "total_magnetization_mub_per_fu": 0.000, "n_ef_per_ev_cell": 5.2, "cell": [[4.467, -7.838, 0.000], [4.467, 7.838, 0.000], [-3.584, 0.000, 4.415]], "species": ["Sn", "Sn", "Sn", "Sn", "Bi", "Bi", "Bi", "Bi", "Pb", "Pb"], "frac_coords": [[0.176, 0.284, 0.480], [0.284, 0.176, 0.980], [0.716, 0.824, 0.020], [0.824, 0.716, 0.520], [0.137, 0.863, 0.250], [0.262, 0.738, 0.750], [0.738, 0.262, 0.250], [0.863, 0.137, 0.750], [0.373, 0.627, 0.250], [0.627, 0.373, 0.750]]}

---

b | {"formula": "Sn2Bi2Pb", "functional": "GGA-PBE", "state": "relaxed", "total_magnetization_mub_per_fu": 0.000, "n_ef_per_ev_cell": 2.9, "cell": [[-2.185, 2.185, 8.448], [2.185, -2.185, 8.448], [2.185, 2.185, -8.448]], "species": ["Sn", "Sn", "Bi", "Bi", "Pb"], "frac_coords": [[0.250, 0.750, 0.500], [0.750, 0.250, 0.500], [0.097, 0.097, 0.000], [0.903, 0.903, 0.000], [0.500, 0.500, 0.000]]}

---

c | {"formula": "Sn2Bi2Pb", "functional": "GGA-PBE", "state": "relaxed", "total_magnetization_mub_per_fu": 0.000, "n_ef_per_ev_cell": 3.5, "cell": [[-2.299, 2.299, 7.835], [2.299, -2.299, 7.835], [2.299, 2.299, -7.835]], "species": ["Sn", "Sn", "Bi", "Bi", "Pb"], "frac_coords": [[0.095, 0.095, 0.000], [0.905, 0.905, 0.000], [0.250, 0.750, 0.500], [0.750, 0.250, 0.500], [0.500, 0.500, 0.000]]}

---

d | {"formula": "Sn2Bi2Pb", "functional": "GGA-PBE", "state": "relaxed", "total_magnetization_mub_per_fu": 0.000, "n_ef_per_ev_cell": 2.5, "cell": [[4.776, -2.768, 0.000], [4.776, 2.768, 0.000], [-3.193, 0.000, 5.852]], "species": ["Sn", "Sn", "Bi", "Bi", "Pb"], "frac_coords": [[0.092, 0.092, 0.273], [0.908, 0.908, 0.727], [0.270, 0.270, 0.811], [0.730, 0.730, 0.189], [0.500, 0.500, 0.500]]}

---

It comes down to d, which is 19 meV per atom more stable than the next structure.

---

a | {"formula": "SnBi2Pb4", "functional": "GGA-PBE", "state": "relaxed", "total_magnetization_mub_per_fu": 0.000, "n_ef_per_ev_cell": 7.3, "cell": [[8.457, 0.000, 0.000], [0.000, 6.780, 0.000], [-4.101, 0.000, 7.783]], "species": ["Sn", "Sn", "Bi", "Bi", "Bi", "Bi", "Pb", "Pb", "Pb", "Pb", "Pb", "Pb", "Pb", "Pb"], "frac_coords": [[0.058, 0.250, 0.340], [0.942, 0.750, 0.660], [0.068, 0.750, 0.362], [0.241, 0.250, 0.061], [0.759, 0.750, 0.939], [0.932, 0.250, 0.638], [0.224, 0.750, 0.063], [0.348, 0.501, 0.768], [0.348, 0.999, 0.768], [0.488, 0.250, 0.491], [0.512, 0.750, 0.509], [0.652, 0.001, 0.232], [0.652, 0.499, 0.232], [0.776, 0.250, 0.937]]}

---

b | {"formula": "SnBi2Pb4", "functional": "GGA-PBE", "state": "relaxed", "total_magnetization_mub_per_fu": 0.000, "n_ef_per_ev_cell": 3.3, "cell": [[1.738, 1.004, 20.993], [-1.738, 1.004, 20.993], [0.000, -2.007, 20.993]], "species": ["Sn", "Bi", "Bi", "Pb", "Pb", "Pb", "Pb"], "frac_coords": [[0.000, 0.000, 0.000], [0.428, 0.428, 0.428], [0.572, 0.572, 0.572], [0.143, 0.143, 0.143], [0.288, 0.288, 0.288], [0.712, 0.712, 0.712], [0.857, 0.857, 0.857]]}

---

It comes down to a, which is 11 meV per atom more stable than the next structure.